(1)
# K2Tc2N3

Crystalline K2Tc2N3 at its relaxed geometry (PBE, Alexandria via LeMat-Bulk).

- Formation energy without anion corrections: -0.9 eV per formula unit
- DOS at the Fermi energy: 3.36 states/eV per cell
- SG: C2/m

Cell lengths 3.420, 7.218, 6.558 Å; angles 130.87, 105.12, 90.00 degrees
Atoms (fractional coordinates):
1 K 0.577 0.788 0.155
2 K 0.423 0.212 0.845
3 Tc 0.811 0.687 0.622
4 Tc 0.189 0.313 0.378
5 N 0.000 0.000 0.000
6 N 0.793 0.372 0.585
7 N 0.207 0.628 0.415

=====

(2)
# AcAgSnBi

Crystalline AcAgSnBi at its relaxed geometry (PBE, Alexandria via LeMat-Bulk).

- DOS at the Fermi energy: 2.72 states/eV per cell
- Calculated formation energy: -0.2646 eV per atom
- SG: F-43m

Cell lengths 5.527, 5.527, 5.527 Å; angles 60.00, 60.00, 60.00 degrees
Atoms (fractional coordinates):
1 Ac 0.000 0.000 0.000
2 Bi 0.500 0.500 0.500
3 Ag 0.750 0.750 0.750
4 Sn 0.250 0.250 0.250

=====

(3)
# BaNdCu

Crystalline BaNdCu at its relaxed geometry (PBE, Alexandria via LeMat-Bulk).

- DOS at the Fermi energy: 3.72 states/eV per cell
- Calculated formation energy: 0.0384 eV per atom
- SG: I4mm

Cell lengths 3.818, 3.818, 7.407 Å; angles 104.93, 104.93, 90.00 degrees
Atoms (fractional coordinates):
1 Nd 0.285 0.285 0.570
2 Ba 0.026 0.026 0.053
3 Cu 0.689 0.689 0.377

=====

(4)
# CuSiTe2

Crystalline CuSiTe2 at its relaxed geometry (PBE, Alexandria via LeMat-Bulk).

- Formation energy without anion corrections: 0.9 eV per formula unit
- DOS at the Fermi energy: 2.29 states/eV per cell
- SG: R-3m

Cell lengths 8.245, 8.245, 8.245 Å; angles 28.57, 28.57, 28.57 degrees
Atoms (fractional coordinates):
1 Si 0.500 0.500 0.500
2 Te 0.897 0.897 0.897
3 Te 0.103 0.103 0.103
4 Cu 0.000 0.000 0.000